(1)
PBE TlSnPb4, optimized geometry; D(E_F) = 0.77 states/eV per atom; energy relative to the lowest polymorph listed for this composition = 10.6 kJ/mol of atoms; magnetic moment = 0.000 μB per atom; space group = F-43m (216)
1.0
6.5381 0.0000 0.0000
3.2690 5.6621 0.0000
3.2690 1.8874 5.3383
Pb Tl Sn
4 1 1
Direct
0.6249 0.6249 0.6249
0.6249 0.1252 0.6249
0.1252 0.6249 0.6249
0.6249 0.6249 0.1252
0.2500 0.2500 0.2500
0.0000 0.0000 0.0000

(2)
PBE ErTmPt2, optimized geometry; D(E_F) = 0.61 states/eV per atom; energy relative to the lowest polymorph listed for this composition = 15.9 kJ/mol of atoms; magnetic moment = 0.000 μB per atom; space group = R-3m (166)
1.0
-3.3234 0.8619 -2.1053
-2.3497 -2.9745 -1.3607
-5.3706 -0.5054 4.4188
Pt Er Tm
2 1 1
Direct
0.7506 0.7506 0.7483
0.2494 0.2494 0.2517
0.0000 0.0000 0.0000
0.5000 0.5000 0.5000

Number 2 is which compound? ErTmPt2